1.
## EuDyGa (GGA-PBE)

Data for a relaxed EuDyGa crystal.

Unit cell a=6.901 b=6.901 c=6.901 alpha=148.99 beta=148.99 gamma=44.43
Positions (direct):
Eu1 0.000 0.000 0.000
Dy1 0.274 0.274 0.000
Ga1 0.654 0.654 0.000

Calculated values
Total magnetization = 7.3 μB per cell
Mass density = 7.3 g/cm3
Energy above the most stable polymorph in this dataset = 0 meV/atom
Energy of formation = -318 meV/atom
N(E_F) = 1.008 states/eV/atom


2.
## U2As3P (GGA-PBE)

Data for a relaxed U2As3P crystal.

Unit cell a=3.925 b=3.925 c=7.971 alpha=90.00 beta=90.00 gamma=90.00
Positions (direct):
U1 0.000 0.500 0.224
U2 0.500 0.000 0.776
As1 0.000 0.500 0.858
As2 0.500 0.000 0.142
As3 0.500 0.500 0.500
P1 0.000 0.000 0.500

Calculated values
Total magnetization = 2.7 μB per cell
Mass density = 9.9 g/cm3
Energy of formation = -657 meV/atom
N(E_F) = 1.678 states/eV/atom


3.
## InFeAg2 (GGA-PBE)

Data for a relaxed InFeAg2 crystal.

Unit cell a=2.947 b=2.947 c=8.056 alpha=90.00 beta=90.00 gamma=90.00
Positions (direct):
In1 0.000 0.000 0.000
Fe1 0.500 0.500 0.762
Ag1 0.000 0.000 0.537
Ag2 0.500 0.500 0.278

Calculated values
Total magnetization = 2.6 μB per cell
Mass density = 9.2 g/cm3
Energy of formation = 219 meV/atom
N(E_F) = 0.553 states/eV/atom


4.
## Pm3TlO6 (GGA-PBE)

Data for a relaxed Pm3TlO6 crystal.

Unit cell a=7.441 b=7.441 c=5.800 alpha=90.00 beta=90.00 gamma=102.93
Positions (direct):
Pm1 0.100 0.900 0.500
Pm2 0.197 0.409 0.445
Pm3 0.409 0.197 0.945
Pm4 0.591 0.803 0.445
Pm5 0.803 0.591 0.945
Pm6 0.900 0.100 0.000
Tl1 0.318 0.682 0.934
Tl2 0.682 0.318 0.434
O1 0.067 0.601 0.719
O2 0.143 0.177 0.723
O3 0.177 0.143 0.223
O4 0.280 0.720 0.292
O5 0.399 0.933 0.719
O6 0.477 0.523 0.726
O7 0.523 0.477 0.226
O8 0.601 0.067 0.219
O9 0.720 0.280 0.792
O10 0.823 0.857 0.723
O11 0.857 0.823 0.223
O12 0.933 0.399 0.219

Calculated values
Total magnetization = 0.0 μB per cell
Mass density = 7.8 g/cm3
Energy relative to the elements, uncorrected = -2.725 eV/atom


Question: The lowest mass density belongs to which entry?
Answer: EuDyGa


Question: Which value of total magnetization does entry 4 give?
Answer: 0.0 μB per cell


Question: Number 4 is which compound?
Answer: Pm3TlO6


Question: What is the formula in the first record?
Answer: EuDyGa